# Lu2ReB6 PBEsol relaxed
# energy	-8.0038	eV/atom
# D(E_F)	0.2741	states/eV/atom
# total magnetization	0.000	μB per atom
data_Lu2ReB6
_cell_length_a 9.014
_cell_length_b 11.342
_cell_length_c 3.573
_cell_angle_alpha 90.00
_cell_angle_beta 90.00
_cell_angle_gamma 90.00
_symmetry_space_group_name_H-M 'P b a m'
_symmetry_Int_Tables_number 55
loop_
_symmetry_equiv_pos_as_xyz
'x,y,z'
'-x,-y,-z'
'-x,-y,z'
'x,y,-z'
'x+1/2,-y+1/2,-z'
'-x+1/2,y+1/2,z'
'-x+1/2,y+1/2,-z'
'x+1/2,-y+1/2,z'
loop_
_atom_site_label
_atom_site_type_symbol
_atom_site_fract_x
_atom_site_fract_y
_atom_site_fract_z
_atom_site_occupancy
Lu1 Lu 0.057 0.129 0.000 1
Lu2 Lu 0.178 0.414 0.000 1
Re1 Re 0.139 0.680 0.000 1
B1 B 0.020 0.288 0.500 1
B2 B 0.053 0.566 0.500 1
B3 B 0.099 0.972 0.500 1
B4 B 0.130 0.816 0.500 1
B5 B 0.207 0.235 0.500 1
B6 B 0.249 0.080 0.500 1

=====

# LuB4Rh4 PBEsol relaxed
# energy	-7.9182	eV/atom
# D(E_F)	0.4569	states/eV/atom
# total magnetization	0.000	μB per atom
data_LuB4Rh4
_cell_length_a 5.258
_cell_length_b 5.258
_cell_length_c 7.315
_cell_angle_alpha 90.00
_cell_angle_beta 90.00
_cell_angle_gamma 90.00
_symmetry_space_group_name_H-M 'P 42/n m c'
_symmetry_Int_Tables_number 137
loop_
_symmetry_equiv_pos_as_xyz
'x,y,z'
'-x,-y,-z'
'-y+1/2,x,z+1/2'
'y+1/2,-x,-z+1/2'
'-x+1/2,-y+1/2,z'
'x+1/2,y+1/2,-z'
'y,-x+1/2,z+1/2'
'-y,x+1/2,-z+1/2'
'x+1/2,-y,-z'
'-x+1/2,y,z'
'-y,-x,-z+1/2'
'y,x,z+1/2'
'-x,y+1/2,-z'
'x,-y+1/2,z'
'y+1/2,x+1/2,-z+1/2'
'-y+1/2,-x+1/2,z+1/2'
loop_
_atom_site_label
_atom_site_type_symbol
_atom_site_fract_x
_atom_site_fract_y
_atom_site_fract_z
_atom_site_occupancy
Lu1 Lu 0.250 0.750 0.250 1
B1 B 0.080 0.250 0.102 1
Rh1 Rh 0.001 0.750 0.603 1

=====

# LuB4Rh4 PBEsol relaxed
# energy	-7.9115	eV/atom
# D(E_F)	0.5559	states/eV/atom
# total magnetization	0.000	μB per atom
data_LuB4Rh4
_cell_length_a 7.413
_cell_length_b 7.413
_cell_length_c 14.706
_cell_angle_alpha 90.00
_cell_angle_beta 90.00
_cell_angle_gamma 90.00
_symmetry_space_group_name_H-M 'I 41/a c d'
_symmetry_Int_Tables_number 142
loop_
_symmetry_equiv_pos_as_xyz
'x,y,z'
'-x,-y,-z'
'-y+1/4,x+3/4,z+1/4'
'y+1/4,-x+3/4,-z+1/4'
'-x+1/2,-y,z+1/2'
'x+1/2,y,-z+1/2'
'y+1/4,-x+1/4,z+3/4'
'-y+1/4,x+1/4,-z+3/4'
'x,-y,-z+1/2'
'-x,y,z+1/2'
'-y+1/4,-x+1/4,-z+1/4'
'y+1/4,x+1/4,z+1/4'
'-x+1/2,y,-z'
'x+1/2,-y,z'
'y+1/4,x+3/4,-z+3/4'
'-y+1/4,-x+3/4,z+3/4'
'x+1/2,y+1/2,z+1/2'
'-x+1/2,-y+1/2,-z+1/2'
'-y+3/4,x+1/4,z+3/4'
'y+3/4,-x+1/4,-z+3/4'
'-x,-y+1/2,z'
'x,y+1/2,-z'
'y+3/4,-x+3/4,z+1/4'
'-y+3/4,x+3/4,-z+1/4'
'x+1/2,-y+1/2,-z'
'-x+1/2,y+1/2,z'
'-y+3/4,-x+3/4,-z+3/4'
'y+3/4,x+3/4,z+3/4'
'-x,y+1/2,-z+1/2'
'x,-y+1/2,z+1/2'
'y+3/4,x+1/4,-z+1/4'
'-y+3/4,-x+1/4,z+1/4'
loop_
_atom_site_label
_atom_site_type_symbol
_atom_site_fract_x
_atom_site_fract_y
_atom_site_fract_z
_atom_site_occupancy
Lu1 Lu 0.000 0.250 0.125 1
B1 B 0.138 0.080 0.293 1
Rh1 Rh 0.116 0.096 0.439 1

=====

# LuB4Rh4 PBEsol relaxed
# energy	-7.9182	eV/atom
# D(E_F)	0.3823	states/eV/atom
# total magnetization	0.000	μB per atom
data_LuB4Rh4
_cell_length_a 7.384
_cell_length_b 22.114
_cell_length_c 7.420
_cell_angle_alpha 90.00
_cell_angle_beta 90.00
_cell_angle_gamma 90.00
_symmetry_space_group_name_H-M 'C c c e'
_symmetry_Int_Tables_number 68
loop_
_symmetry_equiv_pos_as_xyz
'x,y,z'
'-x,-y,-z'
'-x+1/2,-y,z'
'x+1/2,y,-z'
'x+1/2,-y,-z+1/2'
'-x+1/2,y,z+1/2'
'-x,y,-z+1/2'
'x,-y,z+1/2'
'x+1/2,y+1/2,z'
'-x+1/2,-y+1/2,-z'
'-x,-y+1/2,z'
'x,y+1/2,-z'
'x,-y+1/2,-z+1/2'
'-x,y+1/2,z+1/2'
'-x+1/2,y+1/2,-z+1/2'
'x+1/2,-y+1/2,z+1/2'
loop_
_atom_site_label
_atom_site_type_symbol
_atom_site_fract_x
_atom_site_fract_y
_atom_site_fract_z
_atom_site_occupancy
Lu1 Lu 0.000 0.082 0.250 1
Lu2 Lu 0.000 0.250 0.750 1
B1 B 0.137 0.140 0.580 1
B2 B 0.147 0.198 0.418 1
B3 B 0.168 0.029 0.887 1
Rh1 Rh 0.118 0.042 0.594 1
Rh2 Rh 0.147 0.206 0.129 1
Rh3 Rh 0.154 0.124 0.866 1

=====

# LuBRh3 PBEsol relaxed
# energy	-8.1014	eV/atom
# D(E_F)	0.6824	states/eV/atom
# total magnetization	0.000	μB per atom
data_LuBRh3
_cell_length_a 4.109
_cell_length_b 4.109
_cell_length_c 4.109
_cell_angle_alpha 90.00
_cell_angle_beta 90.00
_cell_angle_gamma 90.00
_symmetry_space_group_name_H-M 'P m -3 m'
_symmetry_Int_Tables_number 221
_symmetry_space_group_name_Hall '-P 4 2 3'
loop_
_atom_site_label
_atom_site_type_symbol
_atom_site_fract_x
_atom_site_fract_y
_atom_site_fract_z
_atom_site_occupancy
Lu1 Lu 0.000 0.000 0.000 1
B1 B 0.500 0.500 0.500 1
Rh1 Rh 0.000 0.500 0.500 1

=====

# LuB2Ru3 PBEsol relaxed
# energy	-8.7326	eV/atom
# D(E_F)	0.6945	states/eV/atom
# total magnetization	0.000	μB per atom
data_LuB2Ru3
_cell_length_a 5.4143
_cell_length_b 5.4143
_cell_length_c 2.9818
_cell_angle_alpha 90.00
_cell_angle_beta 90.00
_cell_angle_gamma 120.00
_symmetry_space_group_name_H-M 'P 6/m m m'
_symmetry_Int_Tables_number 191
_symmetry_space_group_name_Hall '-P 6 2'
loop_
_atom_site_label
_atom_site_type_symbol
_atom_site_fract_x
_atom_site_fract_y
_atom_site_fract_z
_atom_site_occupancy
Lu1 Lu 0.0000 0.0000 0.0000 1
B1 B 0.3333 0.6667 0.0000 1
Ru1 Ru 0.0000 0.5000 0.5000 1

=====

# Lu2B6Ru PBEsol relaxed
# energy	-7.6993	eV/atom
# D(E_F)	0.0931	states/eV/atom
# total magnetization	0.000	μB per atom
data_Lu2B6Ru
_cell_length_a 8.960
_cell_length_b 11.307
_cell_length_c 3.543
_cell_angle_alpha 90.00
_cell_angle_beta 90.00
_cell_angle_gamma 90.00
_symmetry_space_group_name_H-M 'P b a m'
_symmetry_Int_Tables_number 55
loop_
_symmetry_equiv_pos_as_xyz
'x,y,z'
'-x,-y,-z'
'-x,-y,z'
'x,y,-z'
'x+1/2,-y+1/2,-z'
'-x+1/2,y+1/2,z'
'-x+1/2,y+1/2,-z'
'x+1/2,-y+1/2,z'
loop_
_atom_site_label
_atom_site_type_symbol
_atom_site_fract_x
_atom_site_fract_y
_atom_site_fract_z
_atom_site_occupancy
Lu1 Lu 0.057 0.128 0.000 1
Lu2 Lu 0.179 0.414 0.000 1
B1 B 0.019 0.287 0.500 1
B2 B 0.054 0.566 0.500 1
B3 B 0.105 0.971 0.500 1
B4 B 0.131 0.816 0.500 1
B5 B 0.208 0.235 0.500 1
B6 B 0.249 0.579 0.500 1
Ru1 Ru 0.138 0.679 0.000 1

=====

# LuB4Ru PBEsol relaxed
# energy	-7.8999	eV/atom
# D(E_F)	0.1431	states/eV/atom
# total magnetization	0.000	μB per atom
data_LuB4Ru
_cell_length_a 5.872
_cell_length_b 11.351
_cell_length_c 3.465
_cell_angle_alpha 90.00
_cell_angle_beta 90.00
_cell_angle_gamma 90.00
_symmetry_space_group_name_H-M 'P b a m'
_symmetry_Int_Tables_number 55
loop_
_symmetry_equiv_pos_as_xyz
'x,y,z'
'-x,-y,-z'
'-x,-y,z'
'x,y,-z'
'x+1/2,-y+1/2,-z'
'-x+1/2,y+1/2,z'
'-x+1/2,y+1/2,-z'
'x+1/2,-y+1/2,z'
loop_
_atom_site_label
_atom_site_type_symbol
_atom_site_fract_x
_atom_site_fract_y
_atom_site_fract_z
_atom_site_occupancy
Lu1 Lu 0.129 0.150 0.000 1
B1 B 0.023 0.693 0.500 1
B2 B 0.113 0.548 0.500 1
B3 B 0.135 0.970 0.500 1
B4 B 0.208 0.814 0.500 1
Ru1 Ru 0.141 0.407 0.000 1

=====

# Lu9B5S21 PBEsol relaxed
# formation energy (no corrections)	-143	kJ per mole of atoms
# total magnetization	0.000	μB per atom
data_Lu9B5S21
_cell_length_a 15.8718
_cell_length_b 15.8718
_cell_length_c 17.2998
_cell_angle_alpha 90.00
_cell_angle_beta 90.00
_cell_angle_gamma 120.00
_symmetry_space_group_name_H-M 'R 3'
_symmetry_Int_Tables_number 146
_symmetry_space_group_name_Hall 'R 3'
loop_
_atom_site_label
_atom_site_type_symbol
_atom_site_fract_x
_atom_site_fract_y
_atom_site_fract_z
_atom_site_occupancy
Lu1 Lu 0.0159 0.2020 0.0000 1
Lu2 Lu 0.0249 0.2069 0.3138 1
Lu3 Lu 0.0317 0.1950 0.6497 1
Lu4 Lu 0.1512 0.6912 0.4799 1
Lu5 Lu 0.1544 0.6961 0.1657 1
Lu6 Lu 0.1643 0.6880 0.8169 1
B1 B 0.0000 0.0000 0.2826 1
B2 B 0.0000 0.0000 0.4582 1
B3 B 0.0000 0.0000 0.7830 1
B4 B 0.0000 0.0000 0.9588 1
B5 B 0.9998 0.6581 0.6805 1
B6 B 0.0102 0.3381 0.5140 1
S1 S 0.0060 0.5600 0.3886 1
S2 S 0.0116 0.6744 0.9019 1
S3 S 0.0140 0.1206 0.7936 1
S4 S 0.0142 0.1388 0.1373 1
S5 S 0.0138 0.3407 0.4021 1
S6 S 0.0138 0.5547 0.7254 1
S7 S 0.0157 0.1216 0.4625 1
S8 S 0.0259 0.5728 0.0580 1
S9 S 0.1116 0.3364 0.8925 1
S10 S 0.1162 0.3569 0.2232 1
S11 S 0.1189 0.1097 0.9628 1
S12 S 0.1204 0.1068 0.2937 1
S13 S 0.1283 0.3499 0.5571 1
S14 S 0.1420 0.1209 0.6366 1

=====

# MgB7 PBEsol relaxed
# energy	-6.5110	eV/atom
# total magnetization	0.000	μB per atom
data_MgB7
_cell_length_a 5.953
_cell_length_b 10.411
_cell_length_c 8.077
_cell_angle_alpha 90.00
_cell_angle_beta 90.00
_cell_angle_gamma 90.00
_symmetry_space_group_name_H-M 'I m m a'
_symmetry_Int_Tables_number 74
_symmetry_space_group_name_Hall '-I 2b 2'
loop_
_atom_site_label
_atom_site_type_symbol
_atom_site_fract_x
_atom_site_fract_y
_atom_site_fract_z
_atom_site_occupancy
Mg1 Mg 0.000 0.250 0.137 1
Mg2 Mg 0.250 0.250 0.750 1
B1 B 0.000 0.082 0.677 1
B2 B 0.000 0.142 0.885 1
B3 B 0.000 0.166 0.476 1
B4 B 0.155 0.064 0.337 1
B5 B 0.247 0.078 0.545 1

=====

# MgMnB3 PBEsol relaxed
# energy	-6.0323	eV/atom
# D(E_F)	0.0650	states/eV/atom
# total magnetization	0.000	μB per atom
data_MgMnB3
_cell_length_a 3.779
_cell_length_b 3.779
_cell_length_c 3.779
_cell_angle_alpha 90.00
_cell_angle_beta 90.00
_cell_angle_gamma 90.00
_symmetry_space_group_name_H-M 'P m -3 m'
_symmetry_Int_Tables_number 221
_symmetry_space_group_name_Hall '-P 4 2 3'
loop_
_atom_site_label
_atom_site_type_symbol
_atom_site_fract_x
_atom_site_fract_y
_atom_site_fract_z
_atom_site_occupancy
Mg1 Mg 0.000 0.000 0.000 1
Mn1 Mn 0.500 0.500 0.500 1
B1 B 0.000 0.500 0.500 1

=====

# Mg2MnNiB PBEsol relaxed
# energy	-4.0870	eV/atom
# D(E_F)	0.5619	states/eV/atom
# total magnetization	0.825	μB per atom
data_Mg2MnNiB
_cell_length_a 4.606
_cell_length_b 4.606
_cell_length_c 4.355
_cell_angle_alpha 90.00
_cell_angle_beta 90.00
_cell_angle_gamma 90.00
_symmetry_space_group_name_H-M 'P 4/m m m'
_symmetry_Int_Tables_number 123
_symmetry_space_group_name_Hall '-P 4 2'
loop_
_atom_site_label
_atom_site_type_symbol
_atom_site_fract_x
_atom_site_fract_y
_atom_site_fract_z
_atom_site_occupancy
Mg1 Mg 0.000 0.500 0.000 1
Mn1 Mn 0.000 0.000 0.500 1
Ni1 Ni 0.000 0.000 0.000 1
B1 B 0.500 0.500 0.500 1

=====

# SrMgBMo2 PBEsol relaxed
# energy	-3.9048	eV/atom
# D(E_F)	1.2269	states/eV/atom
# total magnetization	0.488	μB per atom
data_SrMgBMo2
_cell_length_a 4.820
_cell_length_b 4.820
_cell_length_c 4.630
_cell_angle_alpha 90.00
_cell_angle_beta 90.00
_cell_angle_gamma 90.00
_symmetry_space_group_name_H-M 'P 4/m m m'
_symmetry_Int_Tables_number 123
_symmetry_space_group_name_Hall '-P 4 2'
loop_
_atom_site_label
_atom_site_type_symbol
_atom_site_fract_x
_atom_site_fract_y
_atom_site_fract_z
_atom_site_occupancy
Sr1 Sr 0.000 0.000 0.000 1
Mg1 Mg 0.500 0.500 0.500 1
B1 B 0.000 0.000 0.500 1
Mo1 Mo 0.000 0.500 0.000 1